1.
Computed, not measured: an optimized crystal structure of Tm2TeRu at the PBE level of DFT.

Lattice parameters (Å, degrees): 4.0238 4.0238 7.5987 74.65 74.65 60.00
With the nearest neighbours (Å) after each atom.
Sites, in units of the cell vectors:
Tm: 0.7370 0.7370 0.7891  3 Ru 2.78
Tm: 0.2630 0.2630 0.2109  3 Ru 2.78
Ru: 0.0000 0.0000 0.0000  6 Tm 2.78
Te: 0.5000 0.5000 0.5000  6 Tm 3.13

- Energy above the most stable polymorph in this dataset: 0.367 eV per formula unit

2.
Computed, not measured: an optimized crystal structure of LaSm4Dy at the PBE level of DFT.

Lattice parameters (Å, degrees): 6.6915 6.6915 6.6915 60.00 60.00 60.00
With the nearest neighbours (Å) after each atom.
Sites, in units of the cell vectors:
Dy: 0.0000 0.0000 0.0000  12 Sm 3.92, 4 La 4.10
Sm: 0.6258 0.6258 0.6258  6 Sm 3.32-3.37
Sm: 0.1225 0.6258 0.6258  6 Sm 3.32-3.37
Sm: 0.6258 0.1225 0.6258  6 Sm 3.32-3.37
Sm: 0.6258 0.6258 0.1225  6 Sm 3.32-3.37
La: 0.2500 0.2500 0.2500  12 Sm 3.93, 4 Dy 4.10

- Energy above the most stable polymorph in this dataset: 1.406 eV per formula unit
- Formation enthalpy at 0 K: 254 meV/atom

3.
Computed, not measured: an optimized crystal structure of ZrAuBr at the PBE level of DFT.

Lattice parameters (Å, degrees): 4.6082 4.6082 4.6082 60.00 60.00 60.00
With the nearest neighbours (Å) after each atom.
Sites, in units of the cell vectors:
Au: 0.5000 0.5000 0.5000  4 Br 2.82
Zr: 0.0000 0.0000 0.0000  4 Br 2.82
Br: 0.2500 0.2500 0.2500  4 Au 2.82, 4 Zr 2.82

- Energy above the most stable polymorph in this dataset: 2.272 eV per formula unit

4.
Computed, not measured: an optimized crystal structure of TeOsRu2 at the PBE level of DFT.

Lattice parameters (Å, degrees): 4.8586 4.8586 4.7095 84.81 84.81 35.37
With the nearest neighbours (Å) after each atom.
Sites, in units of the cell vectors:
Te: 0.4953 0.4953 0.5148  5 Ru 2.59-2.78, 1 Os 2.64
Os: 0.2691 0.2691 0.2118  5 Ru 2.64-2.73, 1 Te 2.64, 2 Os 2.95
Ru: 0.7340 0.7340 0.7596  1 Te 2.59, 2 Os 2.64, 3 Ru 2.78-2.85
Ru: 0.0016 0.0016 0.0138  3 Os 2.70-2.73, 4 Te 2.78, 5 Ru 2.78-2.95

- Total DFT energy (no corrections): -7.753 eV per atom

5.
Computed, not measured: an optimized crystal structure of SrCuSe at the PBE level of DFT.

Lattice parameters (Å, degrees): 4.9567 4.9567 4.9567 60.00 60.00 60.00
With the nearest neighbours (Å) after each atom.
Sites, in units of the cell vectors:
Se: 0.2500 0.2500 0.2500  4 Cu 3.04, 4 Sr 3.04
Sr: 0.0000 0.0000 0.0000  4 Se 3.04
Cu: 0.5000 0.5000 0.5000  4 Se 3.04

- Energy above the most stable polymorph in this dataset: 0.869 eV per formula unit

6.
Computed, not measured: an optimized crystal structure of Er2Zn2Pb at the PBE level of DFT.

Lattice parameters (Å, degrees): 4.2803 5.8264 5.8264 62.66 68.45 68.45
With the nearest neighbours (Å) after each atom.
Sites, in units of the cell vectors:
Er: 0.7862 0.7138 0.7138  6 Zn 3.12-3.15, 2 Pb 3.35
Er: 0.2138 0.2862 0.2862  6 Zn 3.12-3.15, 2 Pb 3.35
Pb: 0.0000 0.0000 0.0000  4 Zn 2.81
Zn: 0.5000 0.6994 0.3006  1 Zn 2.42
Zn: 0.5000 0.3006 0.6994  1 Zn 2.42

- Formation enthalpy at 0 K: -280 meV/atom

7.
Computed, not measured: an optimized crystal structure of NaTcSN2 at the PBE level of DFT.

Lattice parameters (Å, degrees): 3.8521 3.8521 5.0139 90.00 90.00 90.00
With the nearest neighbours (Å) after each atom.
Sites, in units of the cell vectors:
S: 0.0000 0.0000 0.5000  2 Tc 2.51, 4 Na 2.72
N: 0.0000 0.5000 0.0000  2 Tc 1.93
N: 0.5000 0.0000 0.0000  2 Tc 1.93
Na: 0.5000 0.5000 0.5000  4 S 2.72
Tc: 0.0000 0.0000 0.0000  4 N 1.93

- Energy above the most stable polymorph in this dataset: 0.000 eV per formula unit

8.
Computed, not measured: an optimized crystal structure of K3C at the PBE level of DFT.

Lattice parameters (Å, degrees): 9.3669 9.3669 8.0381 90.00 90.00 129.26
With the nearest neighbours (Å) after each atom.
Sites, in units of the cell vectors:
K: 0.4346 0.0803 0.7500  1 C 2.73
K: 0.9390 0.0610 0.7500  10 K 4.52-4.93, 2 C 4.54
K: 0.0803 0.4346 0.2500  1 C 2.73
K: 0.0610 0.9390 0.2500  10 K 4.52-4.93, 2 C 4.54
K: 0.9197 0.5654 0.7500  1 C 2.73
K: 0.5654 0.9197 0.2500  1 C 2.73
C: 0.4360 0.5640 0.2500  2 K 2.73
C: 0.5640 0.4360 0.7500  2 K 2.73

- Energy above the most stable polymorph in this dataset: 1.504 eV per formula unit
- Formation enthalpy at 0 K: 1424 meV/atom

9.
Computed, not measured: an optimized crystal structure of K2NaCaI at the PBE level of DFT.

Lattice parameters (Å, degrees): 6.7896 6.2278 6.7896 90.00 90.00 90.00
With the nearest neighbours (Å) after each atom.
Sites, in units of the cell vectors:
Na: 0.0000 0.5000 0.0000  2 I 3.11
K: 0.5000 0.0000 0.0000  2 I 3.39
K: 0.0000 0.0000 0.5000  2 I 3.39
Ca: 0.5000 0.5000 0.5000  8 K 4.61, 4 Na 4.80
I: 0.0000 0.0000 0.0000  2 Na 3.11, 4 K 3.39

- Total DFT energy (no corrections): -1.679 eV per atom

10.
Computed, not measured: an optimized crystal structure of Zn3TcBr at the PBE level of DFT.

Lattice parameters (Å, degrees): 5.0603 5.0603 5.0603 90.00 90.00 90.00
With the nearest neighbours (Å) after each atom.
Sites, in units of the cell vectors:
Zn: 0.0000 0.5000 0.0000  2 Tc 2.53
Zn: 0.0000 0.0000 0.5000  2 Tc 2.53
Zn: 0.5000 0.0000 0.0000  2 Tc 2.53
Br: 0.5000 0.5000 0.5000  12 Zn 3.58
Tc: 0.0000 0.0000 0.0000  6 Zn 2.53

- Energy above the most stable polymorph in this dataset: 0.000 eV per formula unit

11.
Computed, not measured: an optimized crystal structure of Pa2SnMo at the PBE level of DFT.

Lattice parameters (Å, degrees): 4.4948 4.4353 4.4353 90.00 90.00 90.00
With the nearest neighbours (Å) after each atom.
Sites, in units of the cell vectors:
Sn: 0.5000 0.0000 0.0000  4 Mo 3.14, 8 Pa 3.16
Mo: 0.5000 0.5000 0.5000  4 Sn 3.14, 8 Pa 3.16
Pa: 0.0000 0.5000 0.0000  4 Pa 3.14, 4 Sn 3.16, 4 Mo 3.16
Pa: 0.0000 0.0000 0.5000  4 Pa 3.14, 4 Mo 3.16, 4 Sn 3.16

- Energy above the most stable polymorph in this dataset: 0.000 eV per formula unit
- Formation enthalpy at 0 K: -65 meV/atom

12.
Computed, not measured: an optimized crystal structure of TaZn2AgI at the PBE level of DFT.

Lattice parameters (Å, degrees): 5.2355 5.2936 5.2355 90.00 90.00 90.00
With the nearest neighbours (Å) after each atom.
Sites, in units of the cell vectors:
Zn: 0.5000 0.0000 0.0000  2 Ta 2.62
Zn: 0.0000 0.0000 0.5000  2 Ta 2.62
Ta: 0.0000 0.0000 0.0000  4 Zn 2.62, 2 Ag 2.65
I: 0.5000 0.5000 0.5000  4 Ag 3.70, 8 Zn 3.72
Ag: 0.0000 0.5000 0.0000  2 Ta 2.65

- Total DFT energy (no corrections): -2.656 eV per atom

13.
Computed, not measured: an optimized crystal structure of YPd4 at the PBE level of DFT.

Lattice parameters (Å, degrees): 5.0259 9.4383 9.4383 90.00 90.00 90.00
With the nearest neighbours (Å) after each atom.
Sites, in units of the cell vectors:
Y: 0.0000 0.7794 0.7206  6 Pd 2.94-3.03
Y: 0.0000 0.2206 0.2794  6 Pd 2.94-3.03
Y: 0.0000 0.2794 0.7794  6 Pd 2.94-3.03
Y: 0.0000 0.7206 0.2206  6 Pd 2.94-3.03
Pd: 0.5000 0.3991 0.2879  4 Pd 2.50-2.60
Pd: 0.5000 0.6069 0.1069  3 Pd 2.60-2.85
Pd: 0.7638 0.0000 0.0000  6 Pd 2.37-2.65
Pd: 0.2362 0.5000 0.5000  6 Pd 2.37-2.65
Pd: 0.5000 0.3931 0.8931  3 Pd 2.60-2.85
Pd: 0.5000 0.1069 0.3931  3 Pd 2.60-2.85
Pd: 0.5000 0.8991 0.2121  4 Pd 2.50-2.60
Pd: 0.5000 0.8931 0.6069  3 Pd 2.60-2.85
Pd: 0.2362 0.0000 0.0000  6 Pd 2.37-2.65
Pd: 0.5000 0.2879 0.6009  4 Pd 2.50-2.60
Pd: 0.5000 0.7879 0.8991  4 Pd 2.50-2.60
Pd: 0.7638 0.5000 0.5000  6 Pd 2.37-2.65
Pd: 0.5000 0.2121 0.1009  4 Pd 2.50-2.60
Pd: 0.5000 0.1009 0.7879  4 Pd 2.50-2.60
Pd: 0.5000 0.6009 0.7121  4 Pd 2.50-2.60
Pd: 0.5000 0.7121 0.3991  4 Pd 2.50-2.60

- Formation enthalpy at 0 K: -117 meV/atom